Y2Zn2Ru PBE optimized geometry; energy above the most stable polymorph in this dataset = 20 meV/atom; spin magnetization = 0.000 μB/atom; total DFT energy (no corrections) = -26.43 eV/cell; calculated volume = 20.57 A^3/atom; symmetry = Immm (71); ΔH_f (0 K) = -0.335 eV/atom
1.0
-2.347 2.448 4.476
2.347 -2.448 4.476
2.347 2.448 -4.476
Y Zn Ru
2 2 1
Direct
0.187 0.187 0.000 Y
0.813 0.813 0.000 Y
0.250 0.500 0.750 Zn
0.750 0.500 0.250 Zn
0.500 0.000 0.500 Ru

=====

LiSc2Re PBE optimized geometry; spin magnetization = 0.001 μB/atom; total DFT energy (no corrections) = -25.62 eV/cell; calculated volume = 18.68 A^3/atom; symmetry = P4mm (99); ΔH_f (0 K) = 0.352 eV/atom
1.0
2.795 0.000 0.000
0.000 2.795 0.000
0.000 0.000 9.567
Li Sc Re
1 2 1
Direct
0.000 0.000 0.000 Li
0.000 0.000 0.440 Sc
0.500 0.500 0.733 Sc
0.500 0.500 0.215 Re

=====

CsTlSnPSe PBE optimized geometry; formation energy without anion corrections = -1.549 eV/f.u.; energy above the most stable polymorph in this dataset = 56 meV/atom; spin magnetization = 0.000 μB/atom; total DFT energy (no corrections) = -17.67 eV/cell; calculated volume = 34.54 A^3/atom; symmetry = Pm (6)
1.0
4.160 0.000 0.000
0.000 5.011 0.000
-1.291 0.000 8.284
Cs Tl Sn P Se
1 1 1 1 1
Direct
0.000 0.000 0.000 Cs
0.529 0.500 0.666 Tl
0.623 0.000 0.385 Sn
0.178 0.000 0.580 P
0.571 0.500 0.244 Se

=====

Sc2FeCl PBE optimized geometry; formation energy without anion corrections = -0.263 eV/f.u.; energy above the most stable polymorph in this dataset = 640 meV/atom; spin magnetization = 0.000 μB/atom; total DFT energy (no corrections) = -46.47 eV/cell; calculated volume = 23.35 A^3/atom; symmetry = I-42d (122)
1.0
-2.921 2.921 5.471
2.921 -2.921 5.471
2.921 2.921 -5.471
Sc Fe Cl
4 2 2
Direct
0.079 0.625 0.954 Sc
0.375 0.329 0.454 Sc
0.671 0.125 0.046 Sc
0.875 0.921 0.546 Sc
0.000 0.000 0.000 Fe
0.750 0.250 0.500 Fe
0.250 0.750 0.500 Cl
0.500 0.500 0.000 Cl

=====

PuHf2Th PBE optimized geometry; energy above the most stable polymorph in this dataset = 0 meV/atom; spin magnetization = 1.482 μB/atom; total DFT energy (no corrections) = -41.10 eV/cell; calculated volume = 25.24 A^3/atom; symmetry = P4/mmm (123); ΔH_f (0 K) = 0.139 eV/atom
1.0
4.578 0.000 0.000
0.000 4.578 0.000
0.000 0.000 4.818
Pu Hf Th
1 2 1
Direct
0.000 0.000 0.000 Pu
0.000 0.500 0.500 Hf
0.500 0.000 0.500 Hf
0.500 0.500 0.000 Th

=====

Pm6Te3AsIr2 PBE optimized geometry; formation energy without anion corrections = -14.379 eV/f.u.; spin magnetization = 0.000 μB/atom; total DFT energy (no corrections) = -74.68 eV/cell; calculated volume = 29.11 A^3/atom; symmetry = C2/m (12)
1.0
9.615 -2.131 0.000
9.615 2.131 0.000
-2.535 0.000 8.524
Pm Te As Ir
6 3 1 2
Direct
0.014 0.014 0.241 Pm
0.324 0.324 0.435 Pm
0.336 0.336 0.883 Pm
0.664 0.664 0.117 Pm
0.676 0.676 0.565 Pm
0.986 0.986 0.759 Pm
0.162 0.162 0.839 Te
0.500 0.500 0.500 Te
0.838 0.838 0.161 Te
0.500 0.500 0.000 As
0.168 0.168 0.337 Ir
0.832 0.832 0.663 Ir